Entry 1:
{
  "formula": "SmEr4Tm7",
  "functional": "GGA-PBE",
  "state": "optimized geometry",
  "cell": [[5.970, -1.099, 3.263], [1.496, 5.946, 2.580], [3.219, -1.697, 11.401]],
  "species": ["Tm", "Tm", "Er", "Er", "Tm", "Tm", "Er", "Sm", "Er", "Tm", "Tm", "Tm"],
  "frac_coords": [[0.262, 0.819, 0.630], [0.932, 0.678, 0.330], [0.549, 0.345, 0.683], [0.271, 0.188, 0.336], [0.224, 0.480, 0.026], [0.738, 0.181, 0.370], [0.451, 0.655, 0.317], [0.000, 0.000, 0.000], [0.729, 0.812, 0.664], [0.068, 0.322, 0.670], [0.500, 0.000, 0.000], [0.776, 0.520, 0.974]],
  "formation_energy_ev_per_fu": 1.01,
  "mass_density_kg_m3": 8991
}

Entry 2:
{
  "formula": "BaS",
  "functional": "GGA-PBE",
  "state": "optimized geometry",
  "cell": [[8.665, 0.000, 0.000], [0.000, 8.665, 0.000], [0.000, 0.000, 8.665]],
  "species": ["S", "Ba", "S", "Ba", "S", "Ba", "Ba", "S", "S", "Ba", "Ba", "S"],
  "frac_coords": [[0.750, 0.000, 0.500], [0.250, 0.500, 0.000], [0.500, 0.250, 0.000], [0.750, 0.500, 0.000], [0.000, 0.500, 0.250], [0.500, 0.000, 0.250], [0.000, 0.250, 0.500], [0.000, 0.500, 0.750], [0.250, 0.000, 0.500], [0.000, 0.750, 0.500], [0.500, 0.000, 0.750], [0.500, 0.750, 0.000]],
  "e_above_lowest_polymorph_mev_per_atom": 257.8,
  "e_form_raw_ev_per_atom": -1.823,
  "mass_density_kg_m3": 2594
}

Entry 3:
{
  "formula": "Cs4LaTm3Te8",
  "functional": "GGA-PBE",
  "state": "optimized geometry",
  "cell": [[9.155, 0.000, 0.000], [0.000, 10.333, 0.829], [-4.578, -4.580, 6.473]],
  "species": ["Te", "Cs", "Tm", "Te", "Te", "Cs", "Tm", "La", "Te", "Tm", "Cs", "Cs", "Te", "Te", "Te", "Te"],
  "frac_coords": [[0.763, 0.310, 0.527], [0.000, 0.000, 0.000], [0.000, 0.500, 0.500], [0.763, 0.310, 0.046], [0.282, 0.310, 0.046], [0.500, 0.000, 0.500], [0.500, 0.500, 0.000], [0.000, 0.500, 0.000], [0.718, 0.690, 0.954], [0.500, 0.500, 0.500], [0.500, 0.000, 0.000], [0.000, 0.000, 0.500], [0.271, 0.314, 0.542], [0.237, 0.690, 0.473], [0.729, 0.686, 0.458], [0.237, 0.690, 0.954]],
  "e_form_raw_ev_per_atom": -1.387,
  "mass_density_kg_m3": 5640
}

Entry 4:
{
  "formula": "CdCu2Cl",
  "functional": "GGA-PBE",
  "state": "optimized geometry",
  "cell": [[0.000, 3.300, 3.300], [3.300, 0.000, 3.300], [3.300, 3.300, 0.000]],
  "species": ["Cl", "Cu", "Cu", "Cd"],
  "frac_coords": [[0.000, 0.000, 0.000], [0.750, 0.750, 0.750], [0.250, 0.250, 0.250], [0.500, 0.500, 0.500]],
  "e_above_lowest_polymorph_mev_per_atom": 464.5,
  "e_form_raw_ev_per_atom": 0.408,
  "mass_density_kg_m3": 6354
}

Entry 5:
{
  "formula": "TaTe4Br",
  "functional": "GGA-PBE",
  "state": "optimized geometry",
  "cell": [[-3.227, -0.344, 5.318], [0.405, 4.590, 4.192], [-4.853, 3.789, 0.949]],
  "species": ["Te", "Ta", "Br", "Te", "Te", "Te"],
  "frac_coords": [[0.374, 0.877, 0.374], [0.000, 0.000, 0.000], [0.750, 0.750, 0.750], [0.877, 0.374, 0.374], [0.374, 0.374, 0.877], [0.374, 0.374, 0.374]],
  "e_form_raw_ev_per_atom": 0.901,
  "mass_density_kg_m3": 7492
}

Entry 6:
{
  "formula": "Tb2Ce2Tl",
  "functional": "GGA-PBE",
  "state": "optimized geometry",
  "cell": [[3.832, 0.000, 0.000], [0.000, 3.832, 0.000], [-1.916, -1.916, 10.276]],
  "species": ["Tb", "Tb", "Ce", "Ce", "Tl"],
  "frac_coords": [[0.593, 0.593, 0.186], [0.407, 0.407, 0.814], [0.250, 0.750, 0.500], [0.750, 0.250, 0.500], [0.000, 0.000, 0.000]],
  "formation_energy_ev_per_fu": 1.11,
  "mass_density_kg_m3": 8830
}